Y2CuNiBr2: optimized geometry, PBE-GGA.

The space group is P3m1 (No. 156) and the conventional cell measures 4.0369, 4.0369 and 11.4081 Å, with angles of 90.00, 90.00 and 120.00 degrees. The distinct sites, in fractional coordinates, are Y at (0.0000, 0.0000, 0.0000), Y at (0.0000, 0.0000, 0.3246), Cu at (0.6667, 0.3333, 0.1570), Ni at (0.3333, 0.6667, 0.1687), Br at (0.3333, 0.6667, 0.8346) and Br at (0.6667, 0.3333, 0.4901).

The total energy is -5.288 eV per atom.

Al2IrOs: optimized geometry, PBE-GGA.

The space group is Fm-3m (No. 225) and the conventional cell measures 6.031, 6.031 and 6.031 Å, with angles of 90.00, 90.00 and 90.00 degrees. The distinct sites, in fractional coordinates, are Al at (0.250, 0.250, 0.250), Ir at (0.000, 0.000, 0.000) and Os at (0.000, 0.000, 0.500).

For the energy above the lowest structure with this stoichiometry, the calculation gives 0.000 eV per atom.

Hf2W4Au3N3: optimized geometry, PBE-GGA.

The space group is C2/c (No. 15) and the conventional cell measures 9.560, 5.570 and 13.470 Å, with angles of 90.00, 103.17 and 90.00 degrees. The distinct sites, in fractional coordinates, are Hf at (0.051, 0.084, 0.393), W at (0.110, 0.430, 0.575), W at (0.219, 0.413, 0.925), Au at (0.000, 0.483, 0.250), Au at (0.199, 0.120, 0.746), N at (0.074, 0.223, 0.000) and N at (0.250, 0.250, 0.500).

The total energy is -9.223 eV per atom.

CdGa4: optimized geometry, PBE-GGA.

The space group is Im-3m (No. 229) and the conventional cell measures 6.255, 6.255 and 6.255 Å, with angles of 90.00, 90.00 and 90.00 degrees. The distinct sites, in fractional coordinates, are Cd at (0.000, 0.000, 0.000) and Ga at (0.250, 0.250, 0.250).

The total energy is -2.269 eV per atom.

NaCuGeSe3: optimized geometry, PBE-GGA.

The space group is P2_1/m (No. 11) and the conventional cell measures 7.747, 3.826 and 9.413 Å, with angles of 90.00, 106.36 and 90.00 degrees. The distinct sites, in fractional coordinates, are Na at (0.243, 0.250, 0.301), Cu at (0.059, 0.250, 0.586), Ge at (0.321, 0.750, 0.859), Se at (0.087, 0.250, 0.850), Se at (0.256, 0.750, 0.566) and Se at (0.434, 0.750, 0.141).

For the energy above the lowest structure with this stoichiometry, the calculation gives 0.000 eV per atom.

ZnCoTe3Pb: optimized geometry, PBE-GGA.

The space group is Cmcm (No. 63) and the conventional cell measures 4.074, 14.233 and 10.518 Å, with angles of 90.00, 90.00 and 90.00 degrees. The distinct sites, in fractional coordinates, are Zn at (0.000, 0.040, 0.250), Co at (0.000, 0.500, 0.000), Te at (0.000, 0.125, 0.030), Te at (0.000, 0.422, 0.250) and Pb at (0.000, 0.262, 0.750).

For the energy above the lowest structure with this stoichiometry, the calculation gives 0.039 eV per atom.

no.,calculated density (Mg/m³)
1,4.7
2,13.2
3,16.4
4,5.3
5,4.9
6,7.8